Material: HfTiAu2F
Method: DFT, PBE
State: optimized geometry

Results
- density (g cm⁻³) = 11.0
- DOS(E_F) (states/eV/f.u.) = 4.06
- total moment (μB/atom) = 0.487
- space group = No. 123
- uncorrected formation energy (eV/atom) = -0.34

a = 4.9466 Å, b = 4.9466 Å, c = 3.9430 Å
α = 90.00°, β = 90.00°, γ = 90.00°
Fractional coordinates of all 5 atoms:
Hf1 0.0000 0.0000 0.0000
Ti1 0.5000 0.5000 0.0000
Au1 0.0000 0.5000 0.5000
Au2 0.5000 0.0000 0.5000
F1 0.0000 0.0000 0.5000